# Li3V2Si2O10

An optimized crystal structure of Li3V2Si2O10 (PBE with a Hubbard U, Alexandria via LeMat-Bulk).

Output
Total DFT energy (no corrections) ... -7.059 eV per atom
Total moment ... 1.0 μB/f.u.

Structure (CIF):
```
data_Li3V2Si2O10
_chemical_formula_sum 'Li6 V4 Si4 O20'
_space_group_name_H-M_alt 'P m c 21'
_space_group_IT_number 26
_space_group_name_Hall 'P 2c -2'
_cell_length_a 8.979
_cell_length_b 4.588
_cell_length_c 9.295
_cell_angle_alpha 90.00
_cell_angle_beta 90.00
_cell_angle_gamma 90.00
loop_
_atom_site_label
_atom_site_type_symbol
_atom_site_fract_x
_atom_site_fract_y
_atom_site_fract_z
Li1 Li 0.000 0.116 0.000
Li2 Li 0.260 0.491 0.002
V1 V 0.000 0.453 0.714
V2 V 0.500 0.070 0.508
Si1 Si 0.251 0.005 0.256
O1 O 0.000 0.301 0.549
O2 O 0.146 0.240 0.839
O3 O 0.151 0.246 0.168
O4 O 0.352 0.183 0.373
O5 O 0.354 0.179 0.642
O6 O 0.500 0.288 0.006
```